Computed, not measured: a relaxed NaZrP2Cl crystal at the GGA-PBE level of DFT.

Calculated values
VASP energy ... -3.903 eV per atom
ΔE_f (raw) ... 0.603 eV per atom
Magnetization ... 0.00 μB/cell
E above lowest polymorph ... 1122 meV/atom

Cell and atoms, written as POSCAR:
```
NaZrP2Cl
1.0
-2.767 3.952 -0.118
-2.368 -1.541 3.913
3.018 2.193 2.690
P Zr Cl Na
2 1 1 1
Direct
0.500 0.000 0.000
0.000 0.500 0.000
0.500 0.500 0.500
0.000 0.000 0.500
0.000 0.000 0.000
```

Computed, not measured: a relaxed LaScRh4 crystal at the GGA-PBE level of DFT.

Calculated values
VASP energy ... -7.425 eV per atom
Magnetization ... 0.00 μB/cell
DFT formation energy ... -3.9 eV/f.u.

Cell and atoms, written as POSCAR:
```
LaScRh4
1.0
5.339 0.000 0.000
2.670 4.624 0.000
2.670 1.541 4.359
La Sc Rh
1 1 4
Direct
0.000 0.000 0.000
0.250 0.250 0.250
0.624 0.127 0.624
0.624 0.624 0.127
0.624 0.624 0.624
0.127 0.624 0.624
```